Record 1
Here is crystalline Zr5AlCd2 at its relaxed geometry from Alexandria. Energies are from PBE.

It has space group I4/mmm (No. 139), with a = 4.370 Å, b = 4.370 Å, c = 17.949 Å, α = 90.00°, β = 90.00° and γ = 90.00°. The asymmetric unit holds Zr at (0.000, 0.000, 0.000), Zr at (0.000, 0.500, 0.121), Al at (0.000, 0.000, 0.500) and Cd at (0.000, 0.000, 0.250).

The raw total energy is -100.253 eV for the cell shown. The value obtained for the density of states at the Fermi level is 1.0012 states/eV/atom.

=====

Record 2
Here is crystalline TbCe4Er at its relaxed geometry from Alexandria. Energies are from PBE.

It has space group F-43m (No. 216), with a = 8.917 Å, b = 8.917 Å, c = 8.917 Å, α = 90.00°, β = 90.00° and γ = 90.00°. The asymmetric unit holds Tb at (0.000, 0.000, 0.000), Ce at (0.123, 0.123, 0.377) and Er at (0.250, 0.250, 0.750).

The raw total energy is -126.708 eV for the cell shown. The value obtained for the density of states at the Fermi level is 3.0949 states/eV/atom.

=====

Record 3
Here is crystalline HfTa3H at its relaxed geometry from Alexandria. Energies are from PBE.

It has space group Pm-3m (No. 221), with a = 4.955 Å, b = 4.955 Å, c = 4.955 Å, α = 90.00°, β = 90.00° and γ = 90.00°. The asymmetric unit holds Hf at (0.000, 0.000, 0.000), Ta at (0.000, 0.000, 0.500) and H at (0.500, 0.500, 0.500).

The raw total energy is -35.520 eV for the cell shown. The value obtained for the density of states at the Fermi level is 1.3957 states/eV/atom.

=====

Record 4
Here is crystalline HoTcH4 at its relaxed geometry from Alexandria. Energies are from PBE.

It has space group Ama2 (No. 40), with a = 8.754 Å, b = 5.975 Å, c = 4.226 Å, α = 90.00°, β = 90.00° and γ = 90.00°. The asymmetric unit holds Ho at (0.000, 0.000, 0.000), Tc at (0.250, 0.150, 0.500), H at (0.051, 0.143, 0.500), H at (0.250, 0.406, 0.738) and H at (0.250, 0.408, 0.265).

The raw total energy is -120.612 eV for the cell shown. The value obtained for the density of states at the Fermi level is 0.2089 states/eV/atom.

=====

Record 5
Here is crystalline CaTlVP2 at its relaxed geometry from Alexandria. Energies are from PBE.

It has space group P4/mmm (No. 123), with a = 5.243 Å, b = 5.243 Å, c = 5.076 Å, α = 90.00°, β = 90.00° and γ = 90.00°. The asymmetric unit holds Ca at (0.000, 0.000, 0.000), Tl at (0.500, 0.500, 0.500), V at (0.500, 0.500, 0.000) and P at (0.000, 0.500, 0.500).

The raw total energy is -19.704 eV for the cell shown. The value obtained for the density of states at the Fermi level is 1.1288 states/eV/atom.

=====

Record 6
Here is crystalline Ac2SmRu at its relaxed geometry from Alexandria. Energies are from PBE.

It has space group P2_1/m (No. 11), with a = 4.114 Å, b = 10.041 Å, c = 6.835 Å, α = 90.00°, β = 107.45° and γ = 90.00°. The asymmetric unit holds Ac at (0.142, 0.070, 0.283), Sm at (0.405, 0.250, 0.810) and Ru at (0.242, 0.750, 0.484).

The raw total energy is -45.455 eV for the cell shown. The value obtained for the density of states at the Fermi level is 1.0548 states/eV/atom.

=====

Record 7
Here is crystalline La4PbSe2Br at its relaxed geometry from Alexandria. Energies are from PBE.

It has space group P2/m (No. 10), with a = 7.595 Å, b = 4.443 Å, c = 7.754 Å, α = 90.00°, β = 109.33° and γ = 90.00°. The asymmetric unit holds La at (0.238, 0.000, 0.226), La at (0.256, 0.500, 0.771), Pb at (0.000, 0.000, 0.500), Se at (0.000, 0.500, 0.000), Se at (0.500, 0.000, 0.000) and Br at (0.500, 0.500, 0.500).

For the uncorrected formation energy, the calculation gives -1.4929 eV/atom. The raw total energy is -44.003 eV for the cell shown. The value obtained for the density of states at the Fermi level is 0.5315 states/eV/atom.

=====

Record 8
Here is crystalline AlFe4 at its relaxed geometry from Alexandria. Energies are from PBE.

It has space group I4/m (No. 87), with a = 5.564 Å, b = 5.564 Å, c = 3.879 Å, α = 90.00°, β = 90.00° and γ = 90.00°. The asymmetric unit holds Al at (0.000, 0.000, 0.000) and Fe at (0.092, 0.701, 0.500).

The raw total energy is -76.253 eV for the cell shown. The value obtained for the density of states at the Fermi level is 0.6807 states/eV/atom.

=====

Record 9
Here is crystalline Na2PmTcO6 at its relaxed geometry from Alexandria. Energies are from PBE.

It has space group P2_1/c (No. 14), with a = 5.668 Å, b = 5.854 Å, c = 9.883 Å, α = 90.00°, β = 124.56° and γ = 90.00°. The asymmetric unit holds Na at (0.242, 0.043, 0.253), Pm at (0.500, 0.000, 0.000), Tc at (0.000, 0.000, 0.500), O at (0.113, 0.230, 0.942), O at (0.226, 0.678, 0.954) and O at (0.320, 0.036, 0.722).

For the uncorrected formation energy, the calculation gives -1.9371 eV/atom. The raw total energy is -133.749 eV for the cell shown.

=====

Record 10
Here is crystalline SrPBr2 at its relaxed geometry from Alexandria. Energies are from PBE.

It has space group R-3m (No. 166, hexagonal axes), with a = 4.8815 Å, b = 4.8815 Å, c = 23.6358 Å, α = 90.00°, β = 90.00° and γ = 120.00°. The asymmetric unit holds Sr at (0.0000, 0.0000, 0.0000), P at (0.0000, 0.0000, 0.5000) and Br at (0.0000, 0.0000, 0.3883).

For the uncorrected formation energy, the calculation gives -0.5639 eV/atom. The raw total energy is -38.080 eV for the cell shown. The value obtained for the density of states at the Fermi level is 0.3980 states/eV/atom.

=====

Record 11
Here is crystalline CeNpCu2O8 at its relaxed geometry from Alexandria. Energies are from PBE.

It has space group I-4 (No. 82), with a = 5.251 Å, b = 5.251 Å, c = 10.673 Å, α = 90.00°, β = 90.00° and γ = 90.00°. The asymmetric unit holds Ce at (0.000, 0.000, 0.000), Np at (0.000, 0.500, 0.750), Cu at (0.000, 0.000, 0.500), Cu at (0.000, 0.500, 0.250), O at (0.151, 0.301, 0.556) and O at (0.191, 0.800, 0.202).

For the uncorrected formation energy, the calculation gives -1.7841 eV/atom. The raw total energy is -176.284 eV for the cell shown. The value obtained for the density of states at the Fermi level is 0.6201 states/eV/atom.

=====

Record 12
Here is crystalline Hf6BeP3 at its relaxed geometry from Alexandria. Energies are from PBE.

It has space group P2_1/m (No. 11), with a = 9.315 Å, b = 3.643 Å, c = 11.339 Å, α = 90.00°, β = 108.05° and γ = 90.00°. The asymmetric unit holds Hf at (0.028, 0.250, 0.366), Hf at (0.050, 0.250, 0.898), Hf at (0.264, 0.750, 0.333), Hf at (0.314, 0.750, 0.775), Hf at (0.368, 0.750, 0.095), Hf at (0.403, 0.250, 0.565), Be at (0.426, 0.250, 0.275), P at (0.173, 0.250, 0.159), P at (0.182, 0.750, 0.532) and P at (0.345, 0.250, 0.931).

The raw total energy is -173.845 eV for the cell shown. The value obtained for the density of states at the Fermi level is 0.6268 states/eV/atom.